DFT (PBE) results for an optimized crystal structure of TbPmTmMg.

Lattice parameters (Å, degrees): 3.619 3.619 9.145 90.00 90.00 90.00
Fractional positions:
Tb: 0.000 0.000 0.000
Pm: 0.500 0.500 0.274
Tm: 0.000 0.000 0.542
Mg: 0.500 0.500 0.767

SG = P4mm
Formation enthalpy at 0 K = -26 meV/atom
D(E_F) = 1.1292 states/eV/atom
Excess energy over the best structure of this formula in the dataset = 0.000 eV/atom